The following is a PBE calculation of Rb2Re2Pb after structural relaxation, from the Alexandria database.

The volume comes out at 31.70 Å³/atom. Its spin magnetization is 0.00 Bohr magnetons per cell. For the total energy, the calculation gives -5.319 eV per atom.

Unit cell a=3.531 b=3.531 c=12.956 alpha=82.17 beta=82.17 gamma=90.00
Sites, in units of the cell vectors:
Rb: 0.378 0.378 0.244
Rb: 0.622 0.622 0.756
Pb: 0.000 0.000 0.000
Re: 0.750 0.250 0.500
Re: 0.250 0.750 0.500